Entry 1:
Here is crystalline La3P4Pd4 at its relaxed geometry from Alexandria. Energies are from GGA-PBE.

abc: 4.1977 4.1953 12.6452
angles: 99.56 99.54 90.03
Last column: nearest neighbours and their distance in Å.
Fractional coordinates of all 11 atoms:
La (0.3502, 0.8504, 0.7005)  6 P 3.15-3.28, 8 Pd 3.22-3.26
La (0.6498, 0.1496, 0.2995)  6 P 3.15-3.28, 8 Pd 3.22-3.26
La (0.0000, 0.0000, 0.0000)  4 Pd 3.13, 8 P 3.18-3.19
P (0.8072, 0.3072, 0.6147)  5 Pd 2.41-2.54
P (0.4532, 0.4533, 0.9061)  1 P 2.31, 2 Pd 2.40-2.41
P (0.5468, 0.5467, 0.0939)  1 P 2.31, 2 Pd 2.40-2.41
P (0.1928, 0.6928, 0.3853)  5 Pd 2.41-2.54
Pd (0.2510, 0.2514, 0.5017)  4 P 2.52-2.54
Pd (0.0944, 0.5947, 0.1894)  3 P 2.40-2.41
Pd (0.9056, 0.4053, 0.8106)  3 P 2.40-2.41
Pd (0.7490, 0.7486, 0.4983)  4 P 2.52-2.54

Values from the calculation:
DFT total energy in eV/atom: -6.3572
Volume in A^3/atom: 19.68
Energy of formation in eV per atom: -1.16
DOS(E_F) in states/eV per cell: 4.46

=====

Entry 2:
Here is crystalline LaP4Pd6 at its relaxed geometry from Alexandria. Energies are from GGA-PBE.

abc: 6.3818 6.3818 6.3818
angles: 95.24 117.02 117.02
Last column: nearest neighbours and their distance in Å.
Fractional coordinates of all 11 atoms:
La (0.0000, 0.0000, 0.0000)  4 P 2.97
P (0.0000, 0.1506, 0.5736)  4 Pd 2.33-2.44
P (0.5771, 0.4264, 0.4264)  4 Pd 2.33-2.44
P (0.0000, 0.5736, 0.1506)  4 Pd 2.33-2.44
P (0.4229, 0.8494, 0.8494)  4 Pd 2.33-2.44
Pd (0.0000, 0.7877, 0.4876)  4 P 2.33-2.44
Pd (0.0000, 0.4876, 0.7877)  4 P 2.33-2.44
Pd (0.6999, 0.2123, 0.2123)  4 P 2.33-2.44
Pd (0.5000, 0.0000, 0.5000)  4 P 2.66, 4 Pd 2.80
Pd (0.3001, 0.5124, 0.5124)  4 P 2.33-2.44
Pd (0.5000, 0.5000, 0.0000)  4 P 2.66, 4 Pd 2.80

Values from the calculation:
DFT total energy in eV/atom: -5.8657
Volume in A^3/atom: 17.38
Energy of formation in eV per atom: -0.62
DOS(E_F) in states/eV per cell: 5.77

=====

Entry 3:
Here is crystalline La2PPd at its relaxed geometry from Alexandria. Energies are from GGA-PBE.

abc: 7.6339 7.6339 6.7103
angles: 55.33 55.33 90.00
Last column: nearest neighbours and their distance in Å.
Fractional coordinates of all 8 atoms:
P (0.5000, 0.5000, 0.0000)  4 La 2.86
P (0.2500, 0.7500, 0.5000)  4 La 2.86
Pd (0.0000, 0.0000, 0.0000)  4 La 2.90
Pd (0.7500, 0.2500, 0.5000)  4 La 2.90
La (0.6208, 0.1250, 0.2500)  2 P 2.86, 2 Pd 2.90
La (0.1292, 0.6250, 0.2500)  2 P 2.86, 2 Pd 2.90
La (0.3750, 0.3792, 0.7500)  2 P 2.86, 2 Pd 2.90
La (0.8750, 0.8708, 0.7500)  2 P 2.86, 2 Pd 2.90

Values from the calculation:
DFT total energy in eV/atom: -5.9262
Volume in A^3/atom: 29.04
Energy of formation in eV per atom: -0.81
DOS(E_F) in states/eV per cell: 6.09

=====

Entry 4:
Here is crystalline LaP6Pd at its relaxed geometry from Alexandria. Energies are from GGA-PBE.

abc: 6.0744 5.6261 5.6261
angles: 87.19 68.25 111.75
Last column: nearest neighbours and their distance in Å.
Fractional coordinates of all 8 atoms:
La (0.0000, 0.0000, 0.0000)  2 Pd 3.04, 6 P 3.05-3.35
P (0.8100, 0.5076, 0.4924)  3 P 2.25-2.37
P (0.3180, 0.9284, 0.4660)  2 P 2.24-2.25, 1 Pd 2.38
P (0.1900, 0.4924, 0.5076)  3 P 2.25-2.37
P (0.6820, 0.4660, 0.9284)  2 P 2.24-2.25, 1 Pd 2.38
P (0.6820, 0.0716, 0.5340)  2 P 2.24-2.25, 1 Pd 2.38
P (0.3180, 0.5340, 0.0716)  2 P 2.24-2.25, 1 Pd 2.38
Pd (0.5000, 0.0000, 0.0000)  4 P 2.38

Values from the calculation:
DFT total energy in eV/atom: -5.7237
Volume in A^3/atom: 20.24
Energy of formation in eV per atom: -0.40
DOS(E_F) in states/eV per cell: 1.60

=====

Entry 5:
Here is crystalline LaPPd3 at its relaxed geometry from Alexandria. Energies are from GGA-PBE.

abc: 5.0853 5.0853 5.0853
angles: 90.00 90.00 90.00
Last column: nearest neighbours and their distance in Å.
Fractional coordinates of all 5 atoms:
P (0.5000, 0.5000, 0.5000)  12 Pd 3.60
Pd (0.0000, 0.5000, 0.0000)  2 La 2.54
Pd (0.0000, 0.0000, 0.5000)  2 La 2.54
Pd (0.5000, 0.0000, 0.0000)  2 La 2.54
La (0.0000, 0.0000, 0.0000)  6 Pd 2.54

Values from the calculation:
DFT total energy in eV/atom: -4.3007
Volume in A^3/atom: 26.30
E above lowest polymorph in meV/atom: 1648
Energy of formation in eV per atom: 0.88
DOS(E_F) in states/eV per cell: 2.74

=====

Entry 6:
Here is crystalline LaPPd2 at its relaxed geometry from Alexandria. Energies are from GGA-PBE.

abc: 4.8299 4.8299 8.5449
angles: 73.58 73.58 90.00
Last column: nearest neighbours and their distance in Å.
Fractional coordinates of all 8 atoms:
P (0.5000, 0.5000, 0.0000)  4 Pd 2.37
P (0.2500, 0.7500, 0.5000)  4 Pd 2.37
Pd (0.4960, 0.1250, 0.2500)  2 P 2.37
Pd (0.2540, 0.6250, 0.2500)  2 P 2.37
Pd (0.3750, 0.5040, 0.7500)  2 P 2.37
Pd (0.8750, 0.7460, 0.7500)  2 P 2.37
La (0.0000, 0.0000, 0.0000)  4 Pd 2.94
La (0.7500, 0.2500, 0.5000)  4 Pd 2.94

Values from the calculation:
DFT total energy in eV/atom: -5.9618
Volume in A^3/atom: 22.84
Energy of formation in eV per atom: -0.78
DOS(E_F) in states/eV per cell: 1.80

=====

Entry 7:
Here is crystalline LaP2Pd2 at its relaxed geometry from Alexandria. Energies are from GGA-PBE.

abc: 4.2204 4.2204 5.8154
angles: 111.28 111.28 90.00
Last column: nearest neighbours and their distance in Å.
Fractional coordinates of all 5 atoms:
P (0.6136, 0.6136, 0.2272)  1 P 2.27, 4 Pd 2.51
P (0.3864, 0.3864, 0.7728)  1 P 2.27, 4 Pd 2.51
Pd (0.2500, 0.7500, 0.5000)  4 P 2.51
Pd (0.7500, 0.2500, 0.5000)  4 P 2.51
La (0.0000, 0.0000, 0.0000)  8 P 3.19, 8 Pd 3.27

Values from the calculation:
DFT total energy in eV/atom: -6.2293
Volume in A^3/atom: 17.78
Energy of formation in eV per atom: -1.00
DOS(E_F) in states/eV per cell: 1.67

=====

Entry 8:
Here is crystalline La6P17Pd6 at its relaxed geometry from Alexandria. Energies are from GGA-PBE.

abc: 9.0729 9.0729 9.0729
angles: 109.47 109.47 109.47
Last column: nearest neighbours and their distance in Å.
Fractional coordinates of all 29 atoms:
La (0.2856, 0.2856, 0.0000)  7 P 2.99-3.30
La (0.0000, 0.7144, 0.7144)  7 P 2.99-3.30
La (0.0000, 0.2856, 0.2856)  7 P 2.99-3.30
La (0.2856, 0.0000, 0.2856)  7 P 2.99-3.30
La (0.7144, 0.0000, 0.7144)  7 P 2.99-3.30
La (0.7144, 0.7144, 0.0000)  7 P 2.99-3.30
P (0.6386, 0.4200, 0.6386)  1 P 2.22, 2 Pd 2.36
P (0.7814, 0.0000, 0.3614)  1 P 2.22, 2 Pd 2.36
P (0.3614, 0.0000, 0.7814)  1 P 2.22, 2 Pd 2.36
P (0.7814, 0.3614, 0.0000)  1 P 2.22, 2 Pd 2.36
P (0.2186, 0.2186, 0.5800)  1 P 2.22, 2 Pd 2.36
P (0.5800, 0.2186, 0.2186)  1 P 2.22, 2 Pd 2.36
P (0.0000, 0.3614, 0.7814)  1 P 2.22, 2 Pd 2.36
P (0.0000, 0.7814, 0.3614)  1 P 2.22, 2 Pd 2.36
P (0.3614, 0.7814, 0.0000)  1 P 2.22, 2 Pd 2.36
P (0.6386, 0.6386, 0.4200)  1 P 2.22, 2 Pd 2.36
P (0.4200, 0.6386, 0.6386)  1 P 2.22, 2 Pd 2.36
P (0.2186, 0.5800, 0.2186)  1 P 2.22, 2 Pd 2.36
P (0.4341, 0.4341, 0.4341)  3 P 2.22
P (0.0000, 0.0000, 0.5659)  3 P 2.22
P (0.5659, 0.0000, 0.0000)  3 P 2.22
P (0.0000, 0.5659, 0.0000)  3 P 2.22
P (0.0000, 0.0000, 0.0000)  6 La 2.99
Pd (0.2500, 0.7500, 0.5000)  4 P 2.36
Pd (0.5000, 0.2500, 0.7500)  4 P 2.36
Pd (0.5000, 0.7500, 0.2500)  4 P 2.36
Pd (0.2500, 0.5000, 0.7500)  4 P 2.36
Pd (0.7500, 0.5000, 0.2500)  4 P 2.36
Pd (0.7500, 0.2500, 0.5000)  4 P 2.36

Values from the calculation:
DFT total energy in eV/atom: -6.1884
Volume in A^3/atom: 19.83
Energy of formation in eV per atom: -0.92
DOS(E_F) in states/eV per cell: 8.17

=====

Entry 9:
Here is crystalline LaPPd3 at its relaxed geometry from Alexandria. Energies are from GGA-PBE.

abc: 4.6499 4.6499 4.6499
angles: 90.00 90.00 90.00
Last column: nearest neighbours and their distance in Å.
Fractional coordinates of all 5 atoms:
P (0.0000, 0.0000, 0.0000)  6 Pd 2.32
Pd (0.0000, 0.5000, 0.0000)  2 P 2.32
Pd (0.0000, 0.0000, 0.5000)  2 P 2.32
Pd (0.5000, 0.0000, 0.0000)  2 P 2.32
La (0.5000, 0.5000, 0.5000)  12 Pd 3.29

Values from the calculation:
DFT total energy in eV/atom: -5.9489
Volume in A^3/atom: 20.11
E above lowest polymorph in meV/atom: 0
Energy of formation in eV per atom: -0.77
DOS(E_F) in states/eV per cell: 0.61

=====

Entry 10:
Here is crystalline La2P7Pd12 at its relaxed geometry from Alexandria. Energies are from GGA-PBE.

abc: 4.1180 9.7901 9.7901
angles: 120.00 90.00 90.00
Last column: nearest neighbours and their distance in Å.
Fractional coordinates of all 21 atoms:
La (0.2499, 0.3333, 0.6667)  6 P 3.13-3.14, 9 Pd 3.23-3.45
La (0.7501, 0.6667, 0.3333)  6 P 3.13-3.14, 9 Pd 3.23-3.45
P (0.5000, 0.0000, 0.0000)  6 Pd 2.37
P (0.2479, 0.8868, 0.2958)  6 Pd 2.40-2.65
P (0.2479, 0.4090, 0.1132)  6 Pd 2.40-2.65
P (0.2479, 0.7042, 0.5910)  6 Pd 2.40-2.65
P (0.7521, 0.1132, 0.7042)  6 Pd 2.40-2.65
P (0.7521, 0.5910, 0.8868)  6 Pd 2.40-2.65
P (0.7521, 0.2958, 0.4090)  6 Pd 2.40-2.65
Pd (0.2525, 0.6229, 0.0586)  4 P 2.41-2.58
Pd (0.2525, 0.4357, 0.3771)  4 P 2.41-2.58
Pd (0.2525, 0.9414, 0.5643)  4 P 2.41-2.58
Pd (0.7475, 0.3771, 0.9414)  4 P 2.41-2.58
Pd (0.7475, 0.5643, 0.6229)  4 P 2.41-2.58
Pd (0.7475, 0.0586, 0.4357)  4 P 2.41-2.58
Pd (0.2365, 0.1037, 0.2472)  2 P 2.37-2.40
Pd (0.2365, 0.1435, 0.8963)  2 P 2.37-2.40
Pd (0.2365, 0.7528, 0.8565)  2 P 2.37-2.40
Pd (0.7635, 0.8963, 0.7528)  2 P 2.37-2.40
Pd (0.7635, 0.8565, 0.1037)  2 P 2.37-2.40
Pd (0.7635, 0.2472, 0.1435)  2 P 2.37-2.40

Values from the calculation:
DFT total energy in eV/atom: -5.9636
Volume in A^3/atom: 16.28
Energy of formation in eV per atom: -0.72
DOS(E_F) in states/eV per cell: 10.80

=====

Entry 11:
Here is crystalline LaP2Pd6 at its relaxed geometry from Alexandria. Energies are from GGA-PBE.

abc: 4.1520 4.1520 8.6590
angles: 90.00 90.00 90.00
Last column: nearest neighbours and their distance in Å.
Fractional coordinates of all 9 atoms:
La (0.0000, 0.0000, 0.0000)  8 P 3.15, 8 Pd 3.17
P (0.5000, 0.5000, 0.1311)  1 P 2.27, 4 Pd 2.43
P (0.5000, 0.5000, 0.8689)  1 P 2.27, 4 Pd 2.43
Pd (0.0000, 0.5000, 0.2761)  2 P 2.43
Pd (0.5000, 0.0000, 0.2761)  2 P 2.43
Pd (0.0000, 0.5000, 0.7239)  2 P 2.43
Pd (0.5000, 0.0000, 0.7239)  2 P 2.43
Pd (0.5000, 0.5000, 0.5000)  12 Pd 2.84-2.94
Pd (0.0000, 0.0000, 0.5000)  12 Pd 2.84-2.94

Values from the calculation:
DFT total energy in eV/atom: -5.8446
Volume in A^3/atom: 16.59
E above lowest polymorph in meV/atom: 0
Energy of formation in eV per atom: -0.63
DOS(E_F) in states/eV per cell: 6.94